1.
The following is a DFT calculation (GGA-PBE) of a relaxed structure of Ba2CrAg.

Cell: 4.8656 4.9010 12.7934 Å, 90.00 90.00 90.00°
Closest atoms and distances in Å follow each position.
Space group Amm2 (No. 38)
Symmetry-distinct sites (fractional):
1 Ba 0.0000 0.0000 0.0000 [2 per cell]  3 Cr 3.56-3.82, 4 Ag 3.62
2 Ba 0.5000 0.0000 0.2832 [2 per cell]  3 Ag 3.52-3.87, 4 Cr 3.61
3 Cr 0.0000 0.0000 0.7018 [2 per cell]  2 Ag 2.85
4 Ag 0.5000 0.0000 0.5856 [2 per cell]  2 Cr 2.85

For the distance to the lowest polymorph of the same formula, the calculation gives 0.00 eV/f.u. The calculated volume is 38.1 A^3/atom. The value obtained for the formation energy is 0.233 eV per atom. The electronic total energy comes out at -15.39 eV/f.u.

2.
The following is a DFT calculation (GGA-PBE) of a relaxed structure of LaPa2Sb.

Cell: 4.5924 4.5924 5.0305 Å, 90.00 90.00 90.00°
Closest atoms and distances in Å follow each position.
Space group P4/mmm (No. 123)
Symmetry-distinct sites (fractional):
1 La 0.0000 0.0000 0.0000 [1 per cell]  4 Sb 3.25, 8 Pa 3.41
2 Pa 0.0000 0.5000 0.5000 [2 per cell]  4 Pa 3.25, 4 Sb 3.41, 4 La 3.41
3 Sb 0.5000 0.5000 0.0000 [1 per cell]  4 La 3.25, 8 Pa 3.41

The calculated volume is 26.5 A^3/atom. The electronic total energy comes out at -28.99 eV/f.u.

3.
The following is a DFT calculation (GGA-PBE) of a relaxed structure of TlGaSb2O8.

Cell: 4.8547 6.3691 4.8633 Å, 90.00 93.89 90.00°
Closest atoms and distances in Å follow each position.
Space group P2/m (No. 10)
Symmetry-distinct sites (fractional):
1 Tl 0.0000 0.0000 0.0000 [1 per cell]  6 O 2.19-2.31
2 Ga 0.0000 0.5000 0.0000 [1 per cell]  4 O 1.96
3 Sb 0.5000 0.2573 0.5000 [2 per cell]  6 O 1.99-2.06
4 O 0.2020 0.2736 0.1990 [4 per cell]  1 Ga 1.96, 1 Sb 1.99, 1 Tl 2.19
5 O 0.3085 0.5000 0.6887 [2 per cell]  2 Sb 2.05, 1 Ga 2.20
6 O 0.3237 0.0000 0.6731 [2 per cell]  2 Sb 2.06

The calculated volume is 12.5 A^3/atom. The electronic total energy comes out at -68.93 eV/f.u.

4.
The following is a DFT calculation (GGA-PBE) of a relaxed structure of Zr2CdTe.

Cell: 3.5998 3.5998 25.8280 Å, 90.00 90.00 120.00°
Closest atoms and distances in Å follow each position.
Space group R-3m (No. 166, hexagonal axes)
Symmetry-distinct sites (fractional):
1 Zr 0.0000 0.0000 0.2474 [6 per cell]  3 Te 2.94, 3 Cd 3.04
2 Cd 0.0000 0.0000 0.0000 [3 per cell]  6 Zr 3.04
3 Te 0.0000 0.0000 0.5000 [3 per cell]  6 Zr 2.94

For the distance to the lowest polymorph of the same formula, the calculation gives 0.41 eV/f.u. The calculated volume is 24.2 A^3/atom. The electronic total energy comes out at -22.01 eV/f.u.

5.
The following is a DFT calculation (GGA-PBE) of a relaxed structure of Zn2TcCl.

Cell: 2.9649 4.3604 4.8336 Å, 90.00 90.00 90.00°
Closest atoms and distances in Å follow each position.
Space group Pmm2 (No. 25)
Symmetry-distinct sites (fractional):
1 Zn 0.0000 0.0000 0.0000 [1 per cell]  4 Zn 2.67-2.96, 4 Tc 2.79-2.88, 4 Cl 2.84
2 Zn 0.0000 0.5000 0.3187 [1 per cell]  4 Zn 2.67-2.96, 4 Cl 2.69-2.99, 4 Tc 2.76
3 Tc 0.5000 0.0000 0.4882 [1 per cell]  2 Cl 2.60, 8 Zn 2.76-2.88
4 Cl 0.5000 0.5000 0.7826 [1 per cell]  2 Tc 2.60, 6 Zn 2.69-2.84

For the distance to the lowest polymorph of the same formula, the calculation gives 0.84 eV/f.u. The calculated volume is 15.6 A^3/atom. The electronic total energy comes out at -13.76 eV/f.u.

6.
The following is a DFT calculation (GGA-PBE) of a relaxed structure of K2ZrMo.

Cell: 3.3233 4.8003 6.6345 Å, 90.00 90.00 90.00°
Closest atoms and distances in Å follow each position.
Space group Pmmm (No. 47)
Symmetry-distinct sites (fractional):
1 K 0.0000 0.0000 0.0000 [1 per cell]  4 K 2.92
2 K 0.5000 0.5000 0.0000 [1 per cell]  4 K 2.92
3 Zr 0.0000 0.5000 0.5000 [1 per cell]  4 Mo 2.92
4 Mo 0.5000 0.0000 0.5000 [1 per cell]  4 Zr 2.92

For the distance to the lowest polymorph of the same formula, the calculation gives 1.94 eV/f.u. The calculated volume is 26.5 A^3/atom. The value obtained for the formation energy is 1.184 eV per atom. The electronic total energy comes out at -16.84 eV/f.u.

7.
The following is a DFT calculation (GGA-PBE) of a relaxed structure of TlCdBr2F.

Cell: 5.6421 5.6421 4.3796 Å, 90.00 90.00 90.00°
Closest atoms and distances in Å follow each position.
Space group P4/mmm (No. 123)
Symmetry-distinct sites (fractional):
1 Tl 0.0000 0.0000 0.0000 [1 per cell]  8 Br 3.57, 4 F 3.99
2 Cd 0.5000 0.5000 0.5000 [1 per cell]  2 F 2.19
3 Br 0.0000 0.5000 0.5000 [2 per cell]  2 Cd 2.82
4 F 0.5000 0.5000 0.0000 [1 per cell]  2 Cd 2.19

For the distance to the lowest polymorph of the same formula, the calculation gives 0.24 eV/f.u. The calculated volume is 27.9 A^3/atom. The electronic total energy comes out at -14.56 eV/f.u.

8.
The following is a DFT calculation (GGA-PBE) of a relaxed structure of La8Sb14Pt17.

Cell: 12.7537 12.7537 21.7269 Å, 90.00 90.00 90.00°
Closest atoms and distances in Å follow each position.
Space group I4cm (No. 108)
Symmetry-distinct sites (fractional):
1 La 0.0000 0.0000 0.0000 [4 per cell]  9 Pt 3.46-3.82, 8 Sb 3.50-3.66
2 La 0.0000 0.5000 0.4943 [4 per cell]  8 Pt 3.20-3.56, 6 Sb 3.38-3.46
3 La 0.0165 0.2488 0.2465 [16 per cell]  5 Sb 3.24-3.49, 6 Pt 3.31-3.60
4 La 0.2487 0.2513 0.0034 [8 per cell]  5 Pt 3.20-3.54, 6 Sb 3.34-3.52
5 Sb 0.0000 0.0000 0.1996 [4 per cell]  5 Pt 2.70
6 Sb 0.0000 0.5000 0.2254 [4 per cell]  2 Pt 2.67
7 Sb 0.0089 0.2540 0.5612 [16 per cell]  5 Pt 2.60-2.74
8 Sb 0.0974 0.4026 0.8615 [8 per cell]  5 Pt 2.78-2.81
9 Sb 0.1261 0.1481 0.3759 [16 per cell]  5 Pt 2.67-2.96
10 Sb 0.2223 0.2777 0.6790 [8 per cell]  5 Pt 2.63-2.77
11 Pt 0.0000 0.0000 0.3240 [4 per cell]  5 Sb 2.70-2.72
12 Pt 0.0198 0.2524 0.9425 [16 per cell]  4 Sb 2.60-2.78
13 Pt 0.0837 0.4163 0.6241 [8 per cell]  4 Sb 2.66-2.77, 2 Pt 2.97
14 Pt 0.1123 0.1258 0.1248 [16 per cell]  4 Sb 2.64-2.72
15 Pt 0.1206 0.3794 0.3644 [8 per cell]  4 Sb 2.80-2.96, 3 Pt 2.95-2.97
16 Pt 0.1420 0.3580 0.1273 [8 per cell]  3 Sb 2.69-2.74, 4 Pt 2.97-2.99
17 Pt 0.2344 0.2656 0.7996 [8 per cell]  4 Sb 2.63-2.81

The calculated volume is 22.7 A^3/atom. The electronic total energy comes out at -235.89 eV/f.u.

9.
The following is a DFT calculation (GGA-PBE) of a relaxed structure of CaY5S6.

Cell: 6.7950 11.8031 6.8150 Å, 90.00 109.41 90.00°
Closest atoms and distances in Å follow each position.
Space group C2/m (No. 12)
Symmetry-distinct sites (fractional):
1 Ca 0.0000 0.0000 0.0000 [2 per cell]  6 S 2.77-2.79
2 Y 0.0000 0.1658 0.5000 [4 per cell]  6 S 2.77-2.78
3 Y 0.0000 0.3326 0.0000 [4 per cell]  6 S 2.78
4 Y 0.0000 0.5000 0.5000 [2 per cell]  6 S 2.77-2.78
5 S 0.2494 0.3333 0.7484 [8 per cell]  5 Y 2.77-2.78, 1 Ca 2.79
6 S 0.2505 0.0000 0.7515 [4 per cell]  1 Ca 2.77, 5 Y 2.78

The calculated volume is 21.5 A^3/atom. The electronic total energy comes out at -83.27 eV/f.u.

10.
The following is a DFT calculation (GGA-PBE) of a relaxed structure of Tl2CrMo.

Cell: 6.6259 6.6259 6.6259 Å, 90.00 90.00 90.00°
Closest atoms and distances in Å follow each position.
Space group Fm-3m (No. 225)
Symmetry-distinct sites (fractional):
1 Tl 0.2500 0.2500 0.2500 [8 per cell]  4 Cr 2.87, 4 Mo 2.87
2 Cr 0.0000 0.0000 0.0000 [4 per cell]  8 Tl 2.87
3 Mo 0.0000 0.0000 0.5000 [4 per cell]  8 Tl 2.87

For the distance to the lowest polymorph of the same formula, the calculation gives 2.25 eV/f.u. The calculated volume is 18.2 A^3/atom. The value obtained for the formation energy is 1.060 eV per atom. The electronic total energy comes out at -20.95 eV/f.u.

11.
The following is a DFT calculation (GGA-PBE) of a relaxed structure of K2CeI2Br4.

Cell: 7.8859 7.8859 11.8508 Å, 90.00 90.00 90.00°
Closest atoms and distances in Å follow each position.
Space group I4/mmm (No. 139)
Symmetry-distinct sites (fractional):
1 K 0.0000 0.5000 0.2500 [4 per cell]  4 I 3.94, 8 Br 4.07
2 Ce 0.0000 0.0000 0.0000 [2 per cell]  4 Br 2.77, 2 I 3.05
3 I 0.0000 0.0000 0.2574 [4 per cell]  1 Ce 3.05
4 Br 0.2486 0.2486 0.0000 [8 per cell]  1 Ce 2.77

The calculated volume is 40.9 A^3/atom. The electronic total energy comes out at -31.69 eV/f.u.

12.
The following is a DFT calculation (GGA-PBE) of a relaxed structure of ScBeCr2W.

Cell: 4.2230 4.2230 4.7326 Å, 90.00 90.00 90.00°
Closest atoms and distances in Å follow each position.
Space group P4/mmm (No. 123)
Symmetry-distinct sites (fractional):
1 Sc 0.0000 0.0000 0.0000 [1 per cell]  4 Cr 2.11
2 Be 0.5000 0.5000 0.5000 [1 per cell]  4 W 2.99, 8 Cr 3.17
3 Cr 0.0000 0.5000 0.0000 [2 per cell]  2 Sc 2.11
4 W 0.0000 0.0000 0.5000 [1 per cell]  2 Sc 2.37

The calculated volume is 16.9 A^3/atom. The value obtained for the formation energy is 2.319 eV per atom. The electronic total energy comes out at -30.66 eV/f.u.

13.
The following is a DFT calculation (GGA-PBE) of a relaxed structure of SmEuTm2.

Cell: 8.0882 8.0882 8.0882 Å, 90.00 90.00 90.00°
Closest atoms and distances in Å follow each position.
Space group Fm-3m (No. 225)
Symmetry-distinct sites (fractional):
1 Sm 0.0000 0.0000 0.0000 [4 per cell]  8 Tm 3.50
2 Eu 0.0000 0.0000 0.5000 [4 per cell]  8 Tm 3.50
3 Tm 0.2500 0.2500 0.2500 [8 per cell]  4 Eu 3.50, 4 Sm 3.50

For the distance to the lowest polymorph of the same formula, the calculation gives 0.31 eV/f.u. The calculated volume is 33.1 A^3/atom. The value obtained for the formation energy is 0.149 eV per atom. The electronic total energy comes out at -23.34 eV/f.u.

14.
The following is a DFT calculation (GGA-PBE) of a relaxed structure of Mg6CuSn.

Cell: 4.9537 6.2291 10.9805 Å, 90.00 90.00 90.00°
Closest atoms and distances in Å follow each position.
Space group Amm2 (No. 38)
Symmetry-distinct sites (fractional):
1 Mg 0.0000 0.0000 0.0000 [2 per cell]  10 Mg 3.06-3.20, 2 Sn 3.11
2 Mg 0.0000 0.2396 0.7423 [4 per cell]  2 Cu 2.93, 8 Mg 2.98-3.24, 2 Sn 3.07-3.25
3 Mg 0.5000 0.0000 0.1653 [2 per cell]  10 Mg 3.07-3.16, 2 Cu 3.14
4 Mg 0.5000 0.2454 0.9144 [4 per cell]  1 Cu 2.82, 7 Mg 3.06-3.16, 2 Sn 3.08
5 Cu 0.5000 0.0000 0.6981 [2 per cell]  8 Mg 2.82-3.14
6 Sn 0.0000 0.0000 0.4984 [2 per cell]  10 Mg 3.07-3.25, 2 Cu 3.31

The calculated volume is 21.2 A^3/atom. The value obtained for the formation energy is -0.012 eV per atom. The electronic total energy comes out at -17.76 eV/f.u.

15.
The following is a DFT calculation (GGA-PBE) of a relaxed structure of Li5Ag4Hg2.

Cell: 7.2979 16.7863 3.1162 Å, 90.00 90.00 90.00°
Closest atoms and distances in Å follow each position.
Space group Pbam (No. 55)
Symmetry-distinct sites (fractional):
1 Li 0.0000 0.0000 0.0000 [2 per cell]  8 Ag 2.71-2.76
2 Li 0.0999 0.4269 0.0000 [4 per cell]  6 Ag 2.73-2.82, 2 Hg 2.77, 1 Li 2.86
3 Li 0.1912 0.1812 0.0000 [4 per cell]  4 Ag 2.78-2.83, 4 Hg 2.80-2.84
4 Ag 0.1073 0.8729 0.5000 [4 per cell]  6 Li 2.76-2.83, 2 Hg 2.97-3.06
5 Ag 0.2180 0.5500 0.5000 [4 per cell]  8 Li 2.71-2.82
6 Hg 0.0118 0.2960 0.5000 [4 per cell]  6 Li 2.77-2.84, 3 Ag 2.97-3.08

The calculated volume is 17.4 A^3/atom. The value obtained for the formation energy is -0.218 eV per atom. The electronic total energy comes out at -23.98 eV/f.u.

16.
The following is a DFT calculation (GGA-PBE) of a relaxed structure of CdRe2Pt.

Cell: 9.3700 2.7227 5.1233 Å, 90.00 97.78 90.00°
Closest atoms and distances in Å follow each position.
Space group Cm (No. 8)
Symmetry-distinct sites (fractional):
1 Cd 0.0000 0.0000 0.0000 [2 per cell]  3 Pt 2.71-2.83, 2 Cd 2.72, 7 Re 2.85-3.03
2 Re 0.0130 0.5000 0.4920 [2 per cell]  5 Re 2.61-2.80, 2 Pt 2.82, 2 Cd 2.85
3 Re 0.2590 0.5000 0.3045 [2 per cell]  5 Re 2.61-2.80, 2 Pt 2.81, 1 Cd 2.91
4 Pt 0.2468 0.0000 0.7801 [2 per cell]  3 Cd 2.71-2.83, 2 Pt 2.72, 6 Re 2.81-3.00

The calculated volume is 16.2 A^3/atom. The value obtained for the formation energy is 0.294 eV per atom. The electronic total energy comes out at -30.68 eV/f.u.

17.
The following is a DFT calculation (GGA-PBE) of a relaxed structure of Cd4HgPb.

Cell: 6.7833 7.0750 7.0653 Å, 90.00 90.00 90.00°
Closest atoms and distances in Å follow each position.
Space group Amm2 (No. 38)
Symmetry-distinct sites (fractional):
1 Cd 0.2356 0.2504 0.0000 [8 per cell]  2 Hg 2.97, 2 Pb 3.08, 1 Cd 3.20
2 Hg 0.0000 0.0000 0.2496 [2 per cell]  8 Cd 2.97
3 Pb 0.5000 0.0000 0.7504 [2 per cell]  8 Cd 3.08

For the distance to the lowest polymorph of the same formula, the calculation gives 0.20 eV/f.u. The calculated volume is 28.3 A^3/atom. The value obtained for the formation energy is 0.074 eV per atom. The electronic total energy comes out at -7.23 eV/f.u.

18.
The following is a DFT calculation (GGA-PBE) of a relaxed structure of Sc6TcSn10.

Cell: 8.7206 8.7206 5.9803 Å, 90.00 90.00 120.00°
Closest atoms and distances in Å follow each position.
Space group P-31m (No. 162)
Symmetry-distinct sites (fractional):
1 Sc 0.0000 0.3934 0.2581 [6 per cell]  8 Sn 3.01-3.17
2 Tc 0.0000 0.0000 0.5000 [1 per cell]  6 Sn 2.72
3 Sn 0.0000 0.2438 0.7826 [6 per cell]  1 Tc 2.72, 2 Sc 3.01
4 Sn 0.3333 0.6667 0.0000 [2 per cell]  2 Sn 2.99, 6 Sc 3.10
5 Sn 0.3333 0.6667 0.5000 [2 per cell]  2 Sn 2.99, 6 Sc 3.05

The calculated volume is 23.2 A^3/atom. The value obtained for the formation energy is -0.359 eV per atom. The electronic total energy comes out at -94.48 eV/f.u.

19.
The following is a DFT calculation (GGA-PBE) of a relaxed structure of AlFeTc2Ni.

Cell: 4.4004 4.4004 4.1279 Å, 90.00 90.00 90.00°
Closest atoms and distances in Å follow each position.
Space group P4/mmm (No. 123)
Symmetry-distinct sites (fractional):
1 Al 0.0000 0.0000 0.0000 [1 per cell]  2 Fe 2.06, 4 Tc 2.20
2 Fe 0.0000 0.0000 0.5000 [1 per cell]  2 Al 2.06
3 Tc 0.0000 0.5000 0.0000 [2 per cell]  2 Al 2.20
4 Ni 0.5000 0.5000 0.5000 [1 per cell]  8 Tc 3.02, 4 Fe 3.11

The calculated volume is 16.0 A^3/atom. The value obtained for the formation energy is 1.588 eV per atom. The electronic total energy comes out at -30.78 eV/f.u.

20.
The following is a DFT calculation (GGA-PBE) of a relaxed structure of Ca3Ce2DySe6.

Cell: 7.2132 12.4846 7.3409 Å, 90.00 109.11 90.00°
Closest atoms and distances in Å follow each position.
Space group C2/m (No. 12)
Symmetry-distinct sites (fractional):
1 Ca 0.0000 0.0000 0.0000 [2 per cell]  6 Se 2.93-3.00
2 Ca 0.0000 0.3323 0.0000 [4 per cell]  6 Se 2.93-2.99
3 Ce 0.0000 0.1664 0.5000 [4 per cell]  6 Se 2.99-3.00
4 Dy 0.0000 0.5000 0.5000 [2 per cell]  6 Se 2.93
5 Se 0.2418 0.5000 0.2473 [4 per cell]  1 Dy 2.93, 3 Ca 2.94-3.00, 2 Ce 2.99
6 Se 0.2473 0.3368 0.7525 [8 per cell]  1 Dy 2.93, 3 Ca 2.93-2.99, 2 Ce 3.00

The calculated volume is 26.0 A^3/atom. The electronic total energy comes out at -65.72 eV/f.u.